[1]
KAgTe2 | meta-GGA SCAN | single point on PBEsol structure

Properties
Space-group type: P4mm, No. 99
Formation energy without anion corrections in meV per atom: -15

```
KAgTe2
1.0
-0.598 -1.680 2.650
-2.101 -1.789 -1.608
8.023 -7.037 -2.652
K Te Ag
1 2 1
Direct
0.500 0.500 0.739
0.000 0.000 0.979
0.500 0.500 0.298
0.000 0.000 0.485
```

[2]
TaFeAg2 | meta-GGA SCAN | single point on PBEsol structure

Properties
Space-group type: P4/mmm, No. 123
DFT formation energy in eV/atom: 0.5882
E above lowest polymorph in meV per atom: 232.8

```
TaFeAg2
1.0
2.738 0.000 0.000
0.000 4.846 0.000
0.000 0.000 4.846
Ag Ta Fe
2 1 1
Direct
0.000 0.000 0.500
0.000 0.500 0.000
0.500 0.000 0.000
0.500 0.500 0.500
```

[3]
La4TcPt | meta-GGA SCAN | single point on PBEsol structure

Properties
Space-group type: F-43m, No. 216
DFT formation energy in eV/atom: 0.7696

```
La4TcPt
1.0
5.959 0.000 0.000
2.980 5.161 0.000
2.980 1.720 4.866
La Tc Pt
4 1 1
Direct
0.375 0.876 0.375
0.876 0.375 0.375
0.375 0.375 0.375
0.375 0.375 0.876
0.000 0.000 0.000
0.750 0.750 0.750
```

[4]
CsBe2GaFe | meta-GGA SCAN | single point on PBEsol structure

Properties
Space-group type: P4/mmm, No. 123
DFT formation energy in eV/atom: 0.9380

```
CsBe2GaFe
1.0
4.444 0.000 0.000
0.000 4.444 0.000
0.000 0.000 4.962
Fe Be Ga Cs
1 2 1 1
Direct
0.000 0.000 0.500
0.500 0.000 0.000
0.000 0.500 0.000
0.000 0.000 0.000
0.500 0.500 0.500
```

[5]
SrReW2 | meta-GGA SCAN | single point on PBEsol structure

Properties
Space-group type: P4/mmm, No. 123
DFT formation energy in eV/atom: 0.8626

```
SrReW2
1.0
3.064 0.000 0.000
0.000 3.064 0.000
0.000 0.000 8.297
Sr Re W
1 1 2
Direct
0.500 0.500 0.500
0.500 0.500 0.000
0.000 0.000 0.815
0.000 0.000 0.185
```

[6]
Sr2CaMg | meta-GGA SCAN | single point on PBEsol structure

Properties
Space-group type: Cm, No. 8
DFT formation energy in eV/atom: 0.0088

```
Sr2CaMg
1.0
-2.481 3.381 0.239
-4.738 -3.308 -2.387
1.889 -1.707 6.837
Mg Sr Ca
1 2 1
Direct
0.758 0.258 0.515
0.245 0.746 0.491
0.029 0.029 0.058
0.468 0.468 0.936
```

[7]
CaY3Co | meta-GGA SCAN | single point on PBEsol structure

Properties
Space-group type: Pm-3m, No. 221
DFT formation energy in eV/atom: 1.5161
E above lowest polymorph in meV per atom: 1533.5

```
CaY3Co
1.0
-1.579 -3.483 3.653
-3.267 -2.212 -3.521
3.847 -3.308 -1.492
Y Co Ca
3 1 1
Direct
0.000 0.500 0.000
0.500 0.000 0.000
0.000 0.000 0.500
0.500 0.500 0.500
0.000 0.000 0.000
```

[8]
NaSn2Bi2 | meta-GGA SCAN | single point on PBEsol structure

Properties
Space-group type: P4/mbm, No. 127
DFT formation energy in eV/atom: -0.0162

```
NaSn2Bi2
1.0
-1.136 -3.697 1.117
8.210 -1.928 1.972
-1.276 2.834 8.084
Sn Bi Na
4 4 2
Direct
0.500 0.856 0.356
0.500 0.644 0.856
0.500 0.144 0.644
0.500 0.356 0.144
0.000 0.853 0.647
0.000 0.647 0.147
0.000 0.353 0.853
0.000 0.147 0.353
0.000 0.000 0.000
0.000 0.500 0.500
```

[9]
LiCrO3 | meta-GGA SCAN | single point on PBEsol structure

Properties
Space-group type: Pm-3m, No. 221
Formation energy without anion corrections in meV per atom: -1838

```
LiCrO3
1.0
3.618 0.000 0.000
0.000 3.618 0.000
0.000 0.000 3.618
O Li Cr
3 1 1
Direct
0.000 0.000 0.500
0.500 0.000 0.000
0.000 0.500 0.000
0.500 0.500 0.500
0.000 0.000 0.000
```

[10]
CoRh | meta-GGA SCAN | single point on PBEsol structure

Properties
Space-group type: Pnma, No. 62
DFT formation energy in eV/atom: 0.0453

```
CoRh
1.0
-3.824 -0.760 -1.437
1.712 -2.789 -3.080
-0.460 -3.932 3.304
Rh Co
4 4
Direct
0.750 0.910 0.126
0.250 0.090 0.874
0.750 0.410 0.374
0.250 0.590 0.626
0.750 0.422 0.875
0.250 0.078 0.375
0.250 0.578 0.125
0.750 0.922 0.625
```

[11]
PS2N | meta-GGA SCAN | single point on PBEsol structure

Properties
Space-group type: I-42d, No. 122
Formation energy without anion corrections in meV per atom: 1266

```
PS2N
1.0
-3.156 1.676 3.956
-2.516 -0.861 -4.621
2.150 -4.816 0.778
S N P
4 2 2
Direct
0.967 0.592 0.125
0.467 0.875 0.842
0.533 0.375 0.408
0.033 0.158 0.625
0.500 0.250 0.750
0.000 0.500 0.500
0.000 0.000 0.000
0.500 0.750 0.250
```

[12]
CuMoW | meta-GGA SCAN | single point on PBEsol structure

Properties
Space-group type: Imm2, No. 44
DFT formation energy in eV/atom: 0.3208

```
CuMoW
1.0
2.540 0.000 0.000
0.000 4.140 0.000
-1.270 -2.070 4.101
Mo Cu W
1 1 1
Direct
0.336 0.336 0.673
0.000 0.000 0.001
0.663 0.663 0.326
```

[13]
AlCdS2 | meta-GGA SCAN | single point on PBEsol structure

Properties
Space-group type: I-42d, No. 122
Formation energy without anion corrections in meV per atom: -683

```
AlCdS2
1.0
6.056 0.239 0.342
-2.760 5.396 -0.342
-2.760 -2.167 4.953
Al Cd S
2 2 4
Direct
0.000 0.500 0.500
0.500 0.250 0.750
0.500 0.750 0.250
0.000 0.000 0.000
0.441 0.566 0.625
0.059 0.875 0.434
0.941 0.375 0.816
0.559 0.184 0.125
```

[14]
SrLaAu2 | meta-GGA SCAN | single point on PBEsol structure

Properties
Space-group type: R-3m, No. 166
DFT formation energy in eV/atom: -0.9362

```
SrLaAu2
1.0
4.348 0.000 0.000
-2.174 3.769 -0.025
0.000 -2.457 7.268
La Au Sr
1 2 1
Direct
0.500 0.000 0.000
0.755 0.510 0.765
0.245 0.490 0.235
0.000 0.000 0.500
```

[15]
Ba2CaAg | meta-GGA SCAN | single point on PBEsol structure

Properties
Space-group type: Imm2, No. 44
DFT formation energy in eV/atom: -0.0897
E above lowest polymorph in meV per atom: 21.8

```
Ba2CaAg
1.0
4.056 0.000 0.000
0.000 6.150 0.000
-2.028 -3.075 6.445
Ba Ag Ca
2 1 1
Direct
0.754 0.254 0.508
0.945 0.945 0.889
0.238 0.738 0.477
0.563 0.563 0.126
```

[16]
YZrMo | meta-GGA SCAN | single point on PBEsol structure

Properties
Space-group type: F-43m, No. 216
DFT formation energy in eV/atom: 1.5131
E above lowest polymorph in meV per atom: 1213.6

```
YZrMo
1.0
-3.773 -2.629 -0.383
0.319 -4.249 -1.770
-0.533 -3.682 2.729
Mo Y Zr
1 1 1
Direct
0.500 0.500 0.500
0.750 0.750 0.750
0.000 0.000 0.000
```

[17]
MgCd2In | meta-GGA SCAN | single point on PBEsol structure

Properties
Space-group type: F-43m, No. 216
DFT formation energy in eV/atom: 0.0048

```
MgCd2In
1.0
5.015 0.000 0.000
2.508 4.344 0.000
2.508 1.448 4.095
Mg In Cd
1 1 2
Direct
0.250 0.250 0.250
0.500 0.500 0.500
0.750 0.750 0.750
0.000 0.000 0.000
```

[18]
CaTe2Mo | meta-GGA SCAN | single point on PBEsol structure

Properties
Space-group type: F-43m, No. 216
Formation energy without anion corrections in meV per atom: 312
E above lowest polymorph in meV per atom: 847.8

```
CaTe2Mo
1.0
-3.506 3.580 1.390
-4.837 -0.226 -1.893
-3.953 -1.305 3.116
Ca Te Mo
1 2 1
Direct
0.500 0.500 0.500
0.750 0.750 0.750
0.000 0.000 0.000
0.250 0.250 0.250
```

[19]
BaCaTe2 | meta-GGA SCAN | single point on PBEsol structure

Properties
Space-group type: P4/mmm, No. 123
Formation energy without anion corrections in meV per atom: -1824
E above lowest polymorph in meV per atom: 68.3

```
BaCaTe2
1.0
4.731 0.000 0.000
0.000 4.731 0.000
0.000 0.000 6.687
Te Ca Ba
2 1 1
Direct
0.000 0.000 0.875
0.500 0.500 0.375
0.500 0.500 0.875
0.000 0.000 0.375
```

[20]
Te2AsBr | meta-GGA SCAN | single point on PBEsol structure

Properties
Space-group type: Cmmm, No. 65
Formation energy without anion corrections in meV per atom: 285
E above lowest polymorph in meV per atom: 344.5

```
Te2AsBr
1.0
-0.182 -0.477 3.352
-2.966 -0.220 -1.629
1.366 -9.224 -1.238
Te Br As
2 1 1
Direct
0.000 0.000 0.734
0.000 0.000 0.266
0.500 0.500 0.000
0.500 0.500 0.500
```